# 1
Sr2LiGaF | GGA-PBEsol | relaxed

a = 5.298 Å, b = 5.298 Å, c = 4.072 Å
α = 90.00°, β = 90.00°, γ = 90.00°
Positions (direct):
Sr  0.000  0.500  0.000
Sr  0.500  0.000  0.000
Li  0.000  0.000  0.500
Ga  0.500  0.500  0.500
F  0.000  0.000  0.000

As for the total moment: 0.0 μB per formula unit. Its total energy is -3.4802 eV/atom. The space group is P4/mmm, No. 123.

=====

# 2
BeAlPb2 | GGA-PBEsol | relaxed

a = 6.616 Å, b = 8.060 Å, c = 3.366 Å
α = 90.00°, β = 99.31°, γ = 90.00°
Positions (direct):
Be  0.000  0.000  0.000
Be  0.500  0.500  0.000
Al  0.000  0.500  0.000
Al  0.500  0.000  0.000
Pb  0.250  0.250  0.500
Pb  0.250  0.750  0.500
Pb  0.750  0.250  0.500
Pb  0.750  0.750  0.500

As for the total moment: 0.0 μB per formula unit. The value obtained for the formation energy is 554 meV per atom. The space group is C2/m, No. 12.

=====

# 3
La4Ga3FeO12 | GGA-PBEsol | relaxed

a = 5.447 Å, b = 5.475 Å, c = 7.720 Å
α = 89.90°, β = 89.87°, γ = 89.98°
Positions (direct):
La  0.023  0.007  0.247
La  0.473  0.505  0.754
La  0.527  0.495  0.246
La  0.977  0.993  0.753
Ga  0.000  0.500  0.500
Ga  0.500  0.000  0.000
Ga  0.500  0.000  0.500
Fe  0.000  0.500  0.000
O  0.011  0.429  0.755
O  0.219  0.779  0.536
O  0.223  0.770  0.963
O  0.270  0.278  0.039
O  0.280  0.280  0.463
O  0.494  0.934  0.248
O  0.506  0.066  0.752
O  0.720  0.720  0.537
O  0.730  0.722  0.961
O  0.777  0.230  0.037
O  0.781  0.221  0.464
O  0.989  0.571  0.245

As for the total moment: 1.0 μB per formula unit. Its total energy is -7.8122 eV/atom. The space group is P-1, No. 2.

=====

# 4
BaAl2Br | GGA-PBEsol | relaxed

a = 3.526 Å, b = 3.526 Å, c = 29.539 Å
α = 90.00°, β = 90.00°, γ = 120.00°
Positions (direct):
Ba  0.000  0.000  0.000
Ba  0.333  0.667  0.667
Ba  0.667  0.333  0.333
Al  0.000  0.000  0.238
Al  0.000  0.000  0.762
Al  0.333  0.667  0.428
Al  0.333  0.667  0.905
Al  0.667  0.333  0.095
Al  0.667  0.333  0.572
Br  0.000  0.000  0.500
Br  0.333  0.667  0.167
Br  0.667  0.333  0.833

As for the total moment: 0.0 μB per formula unit. Its total energy is -2.9334 eV/atom. The space group is R-3m, No. 166.